1.
The following is a PBE-GGA calculation of crystalline La6Pr2Y5 at its relaxed geometry, from Alexandria.

Calculated values
Formation energy from the elements: 10 kJ/mol of atoms

The structure in POSCAR format:
```
La6Pr2Y5
1.0
11.989 0.000 0.000
0.000 20.966 0.000
0.000 0.000 3.701
La Pr Y
12 4 10
Cartesian
0.709 1.596 0.000
0.918 7.631 0.000
2.133 13.164 1.851
3.862 2.680 1.851
5.076 18.114 0.000
5.286 12.080 0.000
6.703 8.887 0.000
6.913 2.853 0.000
8.128 18.286 1.851
9.856 7.803 1.851
11.071 13.336 0.000
11.280 19.370 0.000
2.013 16.449 0.000
3.982 5.966 0.000
8.007 15.001 0.000
9.976 4.517 0.000
0.000 10.483 1.851
1.105 4.659 1.851
2.413 19.739 1.851
3.582 9.256 1.851
4.890 15.142 1.851
5.995 0.000 1.851
7.099 5.824 1.851
8.407 11.710 1.851
9.576 1.227 1.851
10.885 16.307 1.851
```

=====

2.
The following is a PBE-GGA calculation of crystalline La2Pr2Y7 at its relaxed geometry, from Alexandria.

Calculated values
Formation energy from the elements: 20 kJ/mol of atoms
ΔE to the lowest computed polymorph: 53 meV/atom

The structure in POSCAR format:
```
La2Pr2Y7
1.0
5.083 -5.672 0.000
5.083 5.672 0.000
-2.611 0.000 6.596
La Pr Y
2 2 7
Cartesian
5.083 3.838 0.000
5.083 -3.838 0.000
2.230 0.000 3.817
5.325 0.000 2.779
-1.306 0.000 3.298
2.529 2.836 2.042
3.145 0.000 0.081
5.026 2.836 4.554
2.529 -2.836 2.042
4.410 0.000 6.515
5.026 -2.836 4.554
```

=====

3.
The following is a PBE-GGA calculation of crystalline La15PrY4 at its relaxed geometry, from Alexandria.

Calculated values
Formation energy from the elements: 1 kJ/mol of atoms

The structure in POSCAR format:
```
La15PrY4
1.0
5.229 0.000 0.000
0.000 5.229 0.000
0.000 0.000 26.165
La Pr Y
15 1 4
Cartesian
0.000 0.000 0.000
0.000 0.000 5.260
0.000 0.000 10.471
0.000 0.000 15.694
0.000 0.000 20.905
0.000 2.615 2.645
0.000 2.615 7.868
0.000 2.615 13.083
0.000 2.615 18.297
0.000 2.615 23.520
2.615 0.000 2.645
2.615 0.000 7.868
2.615 0.000 13.083
2.615 0.000 18.297
2.615 0.000 23.520
2.615 2.615 0.000
2.615 2.615 5.263
2.615 2.615 10.472
2.615 2.615 15.693
2.615 2.615 20.902
```

=====

4.
The following is a PBE-GGA calculation of crystalline LaPrY2 at its relaxed geometry, from Alexandria.

Calculated values
Formation energy from the elements: 16 kJ/mol of atoms
ΔE to the lowest computed polymorph: 163 meV/atom

The structure in POSCAR format:
```
LaPrY2
1.0
2.855 -4.953 0.000
2.855 4.953 0.000
0.000 0.000 10.053
La Pr Y
2 2 4
Cartesian
2.855 4.948 7.540
2.855 -4.948 2.513
2.855 1.658 2.513
2.855 -1.658 7.540
2.855 1.646 5.875
2.855 1.646 9.205
2.855 -1.646 0.849
2.855 -1.646 4.178
```

=====

5.
The following is a PBE-GGA calculation of crystalline La12Pr5Y2 at its relaxed geometry, from Alexandria.

Calculated values
Formation energy from the elements: 7 kJ/mol of atoms
ΔE to the lowest computed polymorph: 0 meV/atom

The structure in POSCAR format:
```
La12Pr5Y2
1.0
6.463 0.000 0.000
0.797 9.698 0.000
1.403 4.285 11.016
La Pr Y
12 5 2
Cartesian
1.022 5.900 3.996
2.915 10.821 5.183
2.073 5.648 0.517
2.577 4.207 6.733
3.367 6.902 9.593
4.316 13.095 9.959
4.347 0.888 1.057
5.297 7.081 1.423
6.087 9.776 4.283
6.591 8.335 10.499
5.749 3.162 5.833
7.642 8.083 7.020
0.796 2.672 2.125
4.694 10.013 7.966
4.332 6.991 5.508
3.970 3.970 3.050
7.868 11.311 8.891
2.304 8.766 2.384
6.359 5.217 8.633
```

=====

6.
The following is a PBE-GGA calculation of crystalline LaPr4Y6 at its relaxed geometry, from Alexandria.

Calculated values
Formation energy from the elements: 10 kJ/mol of atoms
ΔE to the lowest computed polymorph: 0 meV/atom

The structure in POSCAR format:
```
LaPr4Y6
1.0
2.932 -4.903 0.000
2.932 4.903 0.000
0.000 0.000 26.320
La Pr Y
2 8 12
Cartesian
2.932 3.071 19.740
2.932 -3.071 6.580
2.932 3.361 1.164
2.932 3.361 11.996
2.932 0.293 3.243
2.932 0.293 9.917
2.932 -0.293 16.403
2.932 -0.293 23.076
2.932 -3.361 14.323
2.932 -3.361 25.156
2.932 3.508 4.787
2.932 3.508 8.372
2.932 3.060 15.816
2.932 3.060 23.663
2.932 0.220 6.580
2.932 0.000 0.000
2.932 0.000 13.160
2.932 -0.220 19.740
2.932 -3.060 2.656
2.932 -3.060 10.503
2.932 -3.508 17.947
2.932 -3.508 21.532
```

=====

One value per record, in order, for ρ: 5568 5160 5989 5344 6130 5423 kg/m³.
One value per record, in order, for E: -70.06 -62.40 -104.39 -21.95 -94.50 -61.70 eV per formula unit.